The following is a DFT calculation (PBE) of a geometry-optimized Zr2TaHg structure.

Cell: 3.089 3.089 8.988 Å, 90.00 90.00 90.00°
Fractional positions:
1 Ta 0.500 0.500 0.750
2 Hg 0.500 0.500 0.250
3 Zr 0.000 0.000 0.988
4 Zr 0.000 0.000 0.512

Computed properties:
**Energy of formation**: -0.07 eV per formula unit



The following is a DFT calculation (PBE) of a geometry-optimized La2Cu3Sn4Ru structure.

Cell: 4.548 4.548 10.675 Å, 90.00 90.00 90.00°
Fractional positions:
1 La 0.000 0.500 0.738
2 La 0.500 0.000 0.262
3 Ru 0.500 0.500 0.500
4 Cu 0.000 0.000 0.500
5 Cu 0.000 0.500 0.133
6 Cu 0.500 0.000 0.867
7 Sn 0.500 0.000 0.627
8 Sn 0.500 0.500 0.000
9 Sn 0.000 0.500 0.373
10 Sn 0.000 0.000 0.000

Computed properties:
**Energy of formation**: -4.11 eV per formula unit



The following is a DFT calculation (PBE) of a geometry-optimized SrPb2IN structure.

Cell: 6.497 4.339 6.497 Å, 90.00 90.00 90.00°
Fractional positions:
1 Pb 0.500 0.000 0.000
2 Pb 0.000 0.000 0.500
3 N 0.000 0.500 0.000
4 Sr 0.000 0.000 0.000
5 I 0.500 0.500 0.500

Computed properties:
**Uncorrected formation energy**: 76.4 kJ per mole of atoms



The following is a DFT calculation (PBE) of a geometry-optimized Tb3MgAl structure.

Cell: 5.163 5.161 10.439 Å, 90.00 75.68 90.00°
Fractional positions:
1 Tb 0.887 0.750 0.874
2 Tb 0.761 0.250 0.126
3 Tb 0.260 0.750 0.128
4 Tb 0.074 0.750 0.501
5 Tb 0.388 0.250 0.872
6 Tb 0.575 0.250 0.499
7 Mg 0.982 0.250 0.685
8 Mg 0.667 0.750 0.315
9 Al 0.165 0.250 0.318
10 Al 0.483 0.750 0.682

Computed properties:
**Energy of formation**: -0.96 eV per formula unit
**E above lowest polymorph**: 0.0 meV/atom



The following is a DFT calculation (PBE) of a geometry-optimized LaAg2MoS structure.

Cell: 5.088 5.253 5.088 Å, 90.00 90.00 90.00°
Fractional positions:
1 Mo 0.000 0.000 0.000
2 Ag 0.000 0.000 0.500
3 Ag 0.500 0.000 0.000
4 S 0.500 0.500 0.500
5 La 0.000 0.500 0.000

Computed properties:
**E above lowest polymorph**: 0.0 meV/atom
**Uncorrected formation energy**: 83.9 kJ per mole of atoms



The following is a DFT calculation (PBE) of a geometry-optimized ZnCuBi3 structure.

Cell: 5.368 5.368 5.368 Å, 90.00 90.00 90.00°
Fractional positions:
1 Bi 0.500 0.000 0.000
2 Bi 0.000 0.500 0.000
3 Bi 0.000 0.000 0.500
4 Cu 0.500 0.500 0.500
5 Zn 0.000 0.000 0.000

Computed properties:
**Energy of formation**: 3.94 eV per formula unit
**E above lowest polymorph**: 275.2 meV/atom



Number 1: volume 21.44 Å³/atom, energy -7.33 eV per atom. Number 2: volume 22.08 Å³/atom, energy -5.15 eV per atom. Number 3: volume 36.63 Å³/atom, energy -3.00 eV per atom. Number 4: volume 26.95 Å³/atom, energy -4.04 eV per atom. Number 5: volume 27.20 Å³/atom, energy -4.25 eV per atom. Number 6: volume 30.93 Å³/atom, energy -2.62 eV per atom.